The following is a GGA-PBE calculation of an optimized crystal structure of HfMgB2, from the Open Quantum Materials Database.

Lattice parameters (Å, degrees): 5.9580 5.9580 5.9580 90.00 90.00 90.00
Space group F-43m (No. 216)
Unique sites:
Hf1 0.0000 0.0000 0.0000 [4 per cell]
Mg1 0.2500 0.2500 0.7500 [4 per cell]
B1 0.0000 0.0000 0.5000 [4 per cell]
B2 0.2500 0.2500 0.2500 [4 per cell]

Summary:
As for the uncorrected energy: -4.918 eV per atom. The magnetization is 0.0 μB/f.u.